# 1
# Ce3Pr2HoS6 | Alexandria via LeMat-Bulk | GGA-PBE | relaxed
data_Ce3Pr2HoS6
_cell_length_a 6.985
_cell_length_b 6.985
_cell_length_c 6.985
_cell_angle_alpha 99.62
_cell_angle_beta 99.62
_cell_angle_gamma 120.00
_symmetry_space_group_name_H-M 'P 1'
_symmetry_Int_Tables_number 1
_symmetry_space_group_name_Hall 'P 1'
loop_
_atom_site_label
_atom_site_type_symbol
_atom_site_fract_x
_atom_site_fract_y
_atom_site_fract_z
Ce1 Ce 0.000 0.000 0.000
Ce2 Ce 0.329 0.671 0.000
Ce3 Ce 0.671 0.329 0.000
Pr1 Pr 0.166 0.834 0.500
Pr2 Pr 0.834 0.166 0.500
Ho1 Ho 0.500 0.500 0.500
S1 S 0.095 0.418 0.252
S2 S 0.262 0.262 0.752
S3 S 0.418 0.095 0.252
S4 S 0.582 0.905 0.748
S5 S 0.738 0.738 0.248
S6 S 0.905 0.582 0.748
# Uncorrected formation energy = -2.02 eV/atom
# DOS(E_F) = 16.7 states/eV/cell
# Volume = 278.15 Å³ per cell

# 2
# CePrHo2S4 | Alexandria via LeMat-Bulk | GGA-PBE | relaxed
data_CePrHo2S4
_cell_length_a 6.838
_cell_length_b 3.934
_cell_length_c 6.986
_cell_angle_alpha 90.00
_cell_angle_beta 108.94
_cell_angle_gamma 90.00
_symmetry_space_group_name_H-M 'P 1'
_symmetry_Int_Tables_number 1
_symmetry_space_group_name_Hall 'P 1'
loop_
_atom_site_label
_atom_site_type_symbol
_atom_site_fract_x
_atom_site_fract_y
_atom_site_fract_z
Ce1 Ce 0.000 0.000 0.000
Pr1 Pr 0.500 0.500 0.000
Ho1 Ho 0.000 0.500 0.500
Ho2 Ho 0.500 0.000 0.500
S1 S 0.241 0.000 0.732
S2 S 0.253 0.500 0.266
S3 S 0.747 0.500 0.734
S4 S 0.759 0.000 0.268
# Uncorrected formation energy = -2.01 eV/atom
# DOS(E_F) = 7.5 states/eV/cell
# Volume = 177.75 Å³ per cell

# 3
# CePr2Ho3S6 | Alexandria via LeMat-Bulk | GGA-PBE | relaxed
data_CePr2Ho3S6
_cell_length_a 8.953
_cell_length_b 8.953
_cell_length_c 8.069
_cell_angle_alpha 104.36
_cell_angle_beta 104.36
_cell_angle_gamma 25.41
_symmetry_space_group_name_H-M 'P 1'
_symmetry_Int_Tables_number 1
_symmetry_space_group_name_Hall 'P 1'
loop_
_atom_site_label
_atom_site_type_symbol
_atom_site_fract_x
_atom_site_fract_y
_atom_site_fract_z
Ce1 Ce 0.000 0.000 0.000
Pr1 Pr 0.334 0.334 0.668
Pr2 Pr 0.666 0.666 0.332
Ho1 Ho 0.000 0.000 0.500
Ho2 Ho 0.333 0.333 0.165
Ho3 Ho 0.667 0.667 0.835
S1 S 0.162 0.162 0.595
S2 S 0.170 0.170 0.072
S3 S 0.495 0.495 0.258
S4 S 0.505 0.505 0.742
S5 S 0.830 0.830 0.928
S6 S 0.838 0.838 0.405
# Uncorrected formation energy = -2.01 eV/atom
# DOS(E_F) = 9.5 states/eV/cell
# Volume = 268.38 Å³ per cell

# 4
# CePr2HoSb4 | Alexandria via LeMat-Bulk | GGA-PBE | relaxed
data_CePr2HoSb4
_cell_length_a 7.778
_cell_length_b 4.497
_cell_length_c 7.792
_cell_angle_alpha 90.00
_cell_angle_beta 109.43
_cell_angle_gamma 90.00
_symmetry_space_group_name_H-M 'P 1'
_symmetry_Int_Tables_number 1
_symmetry_space_group_name_Hall 'P 1'
loop_
_atom_site_label
_atom_site_type_symbol
_atom_site_fract_x
_atom_site_fract_y
_atom_site_fract_z
Ce1 Ce 0.000 0.000 0.000
Pr1 Pr 0.000 0.500 0.500
Pr2 Pr 0.500 0.000 0.500
Ho1 Ho 0.500 0.500 0.000
Sb1 Sb 0.250 0.500 0.242
Sb2 Sb 0.256 0.000 0.760
Sb3 Sb 0.744 0.000 0.240
Sb4 Sb 0.750 0.500 0.758
# Uncorrected formation energy = -1.13 eV/atom
# DOS(E_F) = 7.1 states/eV/cell
# Volume = 257.01 Å³ per cell

# 5
# Ce3Pr2HoSb6 | Alexandria via LeMat-Bulk | GGA-PBE | relaxed
data_Ce3Pr2HoSb6
_cell_length_a 7.793
_cell_length_b 7.793
_cell_length_c 7.793
_cell_angle_alpha 99.61
_cell_angle_beta 99.61
_cell_angle_gamma 120.01
_symmetry_space_group_name_H-M 'P 1'
_symmetry_Int_Tables_number 1
_symmetry_space_group_name_Hall 'P 1'
loop_
_atom_site_label
_atom_site_type_symbol
_atom_site_fract_x
_atom_site_fract_y
_atom_site_fract_z
Ce1 Ce 0.000 0.000 0.000
Ce2 Ce 0.331 0.669 0.000
Ce3 Ce 0.669 0.331 0.000
Pr1 Pr 0.166 0.834 0.500
Pr2 Pr 0.834 0.166 0.500
Ho1 Ho 0.500 0.500 0.500
Sb1 Sb 0.090 0.417 0.250
Sb2 Sb 0.258 0.258 0.753
Sb3 Sb 0.417 0.090 0.250
Sb4 Sb 0.583 0.910 0.750
Sb5 Sb 0.742 0.742 0.247
Sb6 Sb 0.910 0.583 0.750
# Uncorrected formation energy = -1.10 eV/atom
# DOS(E_F) = 20.0 states/eV/cell
# Volume = 386.29 Å³ per cell

# 6
# Ce2PrHoSb4 | Alexandria via LeMat-Bulk | GGA-PBE | relaxed
data_Ce2PrHoSb4
_cell_length_a 7.759
_cell_length_b 4.478
_cell_length_c 7.769
_cell_angle_alpha 90.00
_cell_angle_beta 109.44
_cell_angle_gamma 90.00
_symmetry_space_group_name_H-M 'P 1'
_symmetry_Int_Tables_number 1
_symmetry_space_group_name_Hall 'P 1'
loop_
_atom_site_label
_atom_site_type_symbol
_atom_site_fract_x
_atom_site_fract_y
_atom_site_fract_z
Ce1 Ce 0.000 0.000 0.000
Ce2 Ce 0.500 0.500 0.000
Pr1 Pr 0.000 0.500 0.500
Ho1 Ho 0.500 0.000 0.500
Sb1 Sb 0.256 0.000 0.751
Sb2 Sb 0.257 0.500 0.253
Sb3 Sb 0.743 0.500 0.747
Sb4 Sb 0.744 0.000 0.249
# Uncorrected formation energy = -1.09 eV/atom
# DOS(E_F) = 14.3 states/eV/cell
# Volume = 254.56 Å³ per cell

# 7
# Ce2PrHoSb5 | Alexandria via LeMat-Bulk | GGA-PBE | relaxed
data_Ce2PrHoSb5
_cell_length_a 5.287
_cell_length_b 5.287
_cell_length_c 11.766
_cell_angle_alpha 90.00
_cell_angle_beta 90.00
_cell_angle_gamma 90.00
_symmetry_space_group_name_H-M 'P 1'
_symmetry_Int_Tables_number 1
_symmetry_space_group_name_Hall 'P 1'
loop_
_atom_site_label
_atom_site_type_symbol
_atom_site_fract_x
_atom_site_fract_y
_atom_site_fract_z
Ce1 Ce 0.000 0.000 0.214
Ce2 Ce 0.000 0.000 0.786
Pr1 Pr 0.500 0.500 0.500
Ho1 Ho 0.500 0.500 0.000
Sb1 Sb 0.000 0.000 0.500
Sb2 Sb 0.000 0.500 0.000
Sb3 Sb 0.500 0.000 0.000
Sb4 Sb 0.500 0.500 0.248
Sb5 Sb 0.500 0.500 0.752
# Uncorrected formation energy = -0.32 eV/atom
# DOS(E_F) = 17.1 states/eV/cell
# Volume = 328.91 Å³ per cell

# 8
# CePrHoSc | Alexandria via LeMat-Bulk | GGA-PBE | relaxed
data_CePrHoSc
_cell_length_a 5.577
_cell_length_b 5.577
_cell_length_c 5.577
_cell_angle_alpha 60.00
_cell_angle_beta 60.00
_cell_angle_gamma 60.00
_symmetry_space_group_name_H-M 'P 1'
_symmetry_Int_Tables_number 1
_symmetry_space_group_name_Hall 'P 1'
loop_
_atom_site_label
_atom_site_type_symbol
_atom_site_fract_x
_atom_site_fract_y
_atom_site_fract_z
Ce1 Ce 0.000 0.000 0.000
Pr1 Pr 0.500 0.500 0.500
Ho1 Ho 0.750 0.750 0.750
Sc1 Sc 0.250 0.250 0.250
# DOS(E_F) = 8.8 states/eV/cell
# Volume = 122.67 Å³ per cell
# ΔH_f (0 K) = 0.15 eV per atom

# 9
# CePr2HoSe5 | Alexandria via LeMat-Bulk | GGA-PBE | relaxed
data_CePr2HoSe5
_cell_length_a 5.088
_cell_length_b 5.088
_cell_length_c 10.970
_cell_angle_alpha 90.00
_cell_angle_beta 90.00
_cell_angle_gamma 90.00
_symmetry_space_group_name_H-M 'P 1'
_symmetry_Int_Tables_number 1
_symmetry_space_group_name_Hall 'P 1'
loop_
_atom_site_label
_atom_site_type_symbol
_atom_site_fract_x
_atom_site_fract_y
_atom_site_fract_z
Ce1 Ce 0.000 0.000 0.000
Pr1 Pr 0.500 0.500 0.299
Pr2 Pr 0.500 0.500 0.701
Ho1 Ho 0.000 0.000 0.500
Se1 Se 0.000 0.000 0.250
Se2 Se 0.000 0.000 0.750
Se3 Se 0.000 0.500 0.500
Se4 Se 0.500 0.000 0.500
Se5 Se 0.500 0.500 0.000
# Uncorrected formation energy = -1.32 eV/atom
# DOS(E_F) = 13.6 states/eV/cell
# Volume = 284.05 Å³ per cell

# 10
# CePr3Ho2Se6 | Alexandria via LeMat-Bulk | GGA-PBE | relaxed
data_CePr3Ho2Se6
_cell_length_a 7.219
_cell_length_b 7.219
_cell_length_c 7.314
_cell_angle_alpha 99.50
_cell_angle_beta 99.50
_cell_angle_gamma 120.15
_symmetry_space_group_name_H-M 'P 1'
_symmetry_Int_Tables_number 1
_symmetry_space_group_name_Hall 'P 1'
loop_
_atom_site_label
_atom_site_type_symbol
_atom_site_fract_x
_atom_site_fract_y
_atom_site_fract_z
Ce1 Ce 0.000 0.000 0.000
Pr1 Pr 0.164 0.836 0.500
Pr2 Pr 0.500 0.500 0.500
Pr3 Pr 0.836 0.164 0.500
Ho1 Ho 0.333 0.667 0.000
Ho2 Ho 0.667 0.333 0.000
Se1 Se 0.079 0.419 0.236
Se2 Se 0.263 0.263 0.767
Se3 Se 0.419 0.079 0.236
Se4 Se 0.581 0.921 0.764
Se5 Se 0.737 0.737 0.233
Se6 Se 0.921 0.581 0.764
# Uncorrected formation energy = -1.81 eV/atom
# DOS(E_F) = 10.7 states/eV/cell
# Volume = 311.05 Å³ per cell